A relaxed CsYC2 crystal. Source: the Alexandria database, functional GGA-PBEsol.

Structure (POSCAR):
```
CsYC2
1.0
4.665 0.000 0.000
2.332 4.040 0.000
2.332 1.347 3.809
Cs Y C
1 1 2
direct
0.500 0.500 0.500 Cs
0.000 0.000 0.000 Y
0.250 0.250 0.250 C
0.750 0.750 0.750 C
```

Values from the calculation:
Space-group type: Fm-3m (225)
Energy of formation, kcal/mol of atoms: 45.92



A relaxed Er5Ge3 crystal. Source: the Alexandria database, functional GGA-PBEsol.

Structure (POSCAR):
```
Er5Ge3
1.0
-2.426 -0.171 -5.730
-1.033 -8.213 0.683
-6.048 5.161 2.406
Er Ge
10 6
direct
0.750 0.241 0.000 Er
0.250 0.759 0.000 Er
0.250 0.241 0.241 Er
0.750 0.000 0.241 Er
0.750 0.759 0.759 Er
0.250 0.000 0.759 Er
0.000 0.333 0.667 Er
0.500 0.667 0.333 Er
0.000 0.667 0.333 Er
0.500 0.333 0.667 Er
0.750 0.000 0.605 Ge
0.250 0.605 0.605 Ge
0.250 0.395 0.000 Ge
0.750 0.605 0.000 Ge
0.750 0.395 0.395 Ge
0.250 0.000 0.395 Ge
```

Values from the calculation:
Space-group type: P6_3/mcm (193)
Energy of formation, kcal/mol of atoms: -19.55



A relaxed MgZnCd crystal. Source: the Alexandria database, functional GGA-PBEsol.

Structure (POSCAR):
```
MgZnCd
1.0
3.096 0.000 0.000
0.000 4.589 0.000
0.000 -2.295 3.974
Zn Mg Cd
1 1 1
direct
0.166 0.667 0.333 Zn
0.666 0.333 0.667 Mg
0.167 0.000 0.000 Cd
```

Values from the calculation:
Space-group type: P-6m2 (187)
Energy of formation, kcal/mol of atoms: -1.17



A relaxed CuS3O crystal. Source: the Alexandria database, functional GGA-PBEsol.

Structure (POSCAR):
```
CuS3O
1.0
4.413 0.000 0.000
0.000 4.413 0.000
0.000 0.000 4.413
S O Cu
3 1 1
direct
0.000 0.500 0.000 S
0.000 0.000 0.500 S
0.500 0.000 0.000 S
0.500 0.500 0.500 O
0.000 0.000 0.000 Cu
```

Values from the calculation:
Space-group type: Pm-3m (221)
Raw formation energy, eV per atom: 1.16



A relaxed Dy2Cr2C3 crystal. Source: the Alexandria database, functional GGA-PBEsol.

Structure (POSCAR):
```
Dy2Cr2C3
1.0
-2.029 0.740 2.557
3.960 -3.161 1.866
2.058 5.109 0.154
Cr C Dy
2 3 2
direct
0.157 0.314 0.890 Cr
0.843 0.686 0.110 Cr
0.714 0.428 0.771 C
0.286 0.572 0.229 C
0.000 0.000 0.000 C
0.395 0.790 0.683 Dy
0.605 0.210 0.317 Dy
```

Values from the calculation:
Space-group type: C2/m (12)
Energy of formation, kcal/mol of atoms: -8.60



A relaxed Ag2C crystal. Source: the Alexandria database, functional GGA-PBEsol.

Structure (POSCAR):
```
Ag2C
1.0
2.832 0.000 0.000
0.000 5.417 0.000
-1.416 0.000 5.365
Ag C
4 2
direct
0.741 0.803 0.482 Ag
0.259 0.303 0.518 Ag
0.478 0.833 0.957 Ag
0.522 0.333 0.043 Ag
0.896 0.531 0.792 C
0.104 0.031 0.208 C
```

Values from the calculation:
Space-group type: Cmc2_1 (36)
Energy of formation, kcal/mol of atoms: 29.80